(1)
SrLa2Cl: relaxed, GGA-PBE.

Calculated values
Its raw formation energy is -0.65 eV per atom. The spin magnetization comes out at 0.030 μB per cell. As for the energy above the most stable polymorph in this dataset: 0.030 eV/atom.

Lattice parameters (Å, degrees): 3.730 3.730 10.712 90.00 90.00 90.00
Fractional positions:
Cl (0.500, 0.500, 0.701)
La (0.000, 0.000, 0.007)
La (0.500, 0.500, 0.245)
Sr (0.000, 0.000, 0.548)

***

(2)
NbZnGaCu: relaxed, GGA-PBE.

Calculated values
The spin magnetization comes out at 0.000 μB per cell. The value obtained for the formation energy is -201 meV per atom.

Lattice parameters (Å, degrees): 3.821 3.875 4.049 90.00 90.00 90.00
Fractional positions:
Nb (0.500, 0.000, 0.500)
Zn (0.000, 0.000, 0.000)
Ga (0.000, 0.500, 0.500)
Cu (0.500, 0.500, 0.000)

***

(3)
Tm2Zn3Cd: relaxed, GGA-PBE.

Calculated values
The spin magnetization comes out at 0.000 μB per cell. As for the energy above the most stable polymorph in this dataset: 0.000 eV/atom. The value obtained for the formation energy is -333 meV per atom.

Lattice parameters (Å, degrees): 5.715 5.715 8.632 103.74 103.74 106.42
Fractional positions:
Tm (0.250, 0.750, 0.500)
Tm (0.752, 0.752, 0.000)
Tm (0.750, 0.250, 0.500)
Tm (0.248, 0.248, 0.000)
Zn (0.325, 0.838, 0.163)
Zn (0.162, 0.675, 0.837)
Zn (0.675, 0.162, 0.837)
Zn (0.838, 0.325, 0.163)
Zn (0.162, 0.162, 0.325)
Zn (0.838, 0.838, 0.675)
Cd (0.666, 0.666, 0.332)
Cd (0.334, 0.334, 0.668)